# 1
The following is a PBE calculation of a geometry-optimized Pm2HgN structure, from Alexandria.

```
data_Pm2HgN
_cell_length_a 3.1763
_cell_length_b 3.1763
_cell_length_c 8.1615
_cell_angle_alpha 90.00
_cell_angle_beta 90.00
_cell_angle_gamma 90.00
_symmetry_space_group_name_H-M 'P 4/m m m'
_symmetry_Int_Tables_number 123
_symmetry_space_group_name_Hall '-P 4 2'
loop_
_atom_site_label
_atom_site_type_symbol
_atom_site_fract_x
_atom_site_fract_y
_atom_site_fract_z
Pm1 Pm 0.0000 0.0000 0.1806
Hg1 Hg 0.5000 0.5000 0.5000
N1 N 0.5000 0.5000 0.0000
```

Computed properties:
ΔE_f (raw), eV/atom: -0.428
Relative energy among the computed polymorphs, meV per atom: 520

# 2
The following is a PBE calculation of a geometry-optimized Pm4Hg3N structure, from Alexandria.

```
data_Pm4Hg3N
_cell_length_a 7.5894
_cell_length_b 7.5894
_cell_length_c 7.5894
_cell_angle_alpha 90.00
_cell_angle_beta 90.00
_cell_angle_gamma 90.00
_symmetry_space_group_name_H-M 'I -4 3 m'
_symmetry_Int_Tables_number 217
_symmetry_space_group_name_Hall 'I -4 2 3'
loop_
_atom_site_label
_atom_site_type_symbol
_atom_site_fract_x
_atom_site_fract_y
_atom_site_fract_z
Pm1 Pm 0.1765 0.1765 0.1765
Hg1 Hg 0.0000 0.0000 0.5000
N1 N 0.0000 0.0000 0.0000
```

Computed properties:
ΔE_f (raw), eV/atom: -0.592